Below is crystalline Ho2TmNpN4 at its relaxed geometry, with properties calculated at the PBE-GGA level.

## Properties
For the final energy, the calculation gives -72.7 eV/cell. The value obtained for the formation energy from raw total energies is -1598 meV/atom. The volume is 14.272 Å³ per atom.

abc: 3.434 5.928 5.931
angles: 108.98 90.00 90.00
Site moments in Bohr magnetons follow the coordinates.
Element x y z (fractional)
N (0.000, 0.254, 0.757)  -0.09
N (0.000, 0.746, 0.243)  -0.09
N (0.500, 0.744, 0.761)  -0.06
N (0.500, 0.256, 0.239)  -0.06
Ho (0.000, 0.500, 0.500)  0.07
Ho (0.500, 0.000, 0.500)  0.09
Np (0.500, 0.500, 0.000)  2.95
Tm (0.000, 0.000, 0.000)  0.06

=====

Below is crystalline NaLi2In10 at its relaxed geometry, with properties calculated at the PBE-GGA level.

## Properties
For the final energy, the calculation gives -33.4 eV/cell. Its formation energy is -6.6 kJ per mole of atoms. The volume is 25.878 Å³ per atom.

abc: 5.909 8.055 8.152
angles: 82.36 68.75 68.48
Element x y z (fractional)
In (0.986, 0.365, 0.662)
In (0.509, 0.779, 0.202)
In (0.014, 0.635, 0.338)
In (0.289, 0.221, 0.202)
In (0.491, 0.221, 0.798)
In (0.711, 0.779, 0.798)
In (0.648, 0.365, 0.338)
In (0.000, 0.000, 0.500)
In (0.352, 0.635, 0.662)
In (0.500, 0.000, 0.500)
Li (0.000, 0.500, 0.000)
Li (0.500, 0.500, 0.000)
Na (0.000, 0.000, 0.000)

=====

Below is crystalline Ac5TbY at its relaxed geometry, with properties calculated at the PBE-GGA level.

## Properties
For the final energy, the calculation gives -60.3 eV/cell. Its formation energy is 20.8 kJ per mole of atoms. The volume is 42.642 Å³ per atom.

abc: 6.666 9.876 9.962
angles: 85.06 75.22 70.28
Element x y z (fractional)
Ac (0.246, 0.289, 0.963)
Ac (0.981, 0.632, 0.646)
Ac (0.135, 0.730, 0.250)
Ac (0.387, 0.632, 0.854)
Ac (0.535, 0.711, 0.463)
Ac (0.019, 0.368, 0.354)
Ac (0.754, 0.711, 0.037)
Ac (0.865, 0.270, 0.750)
Ac (0.465, 0.289, 0.537)
Ac (0.613, 0.368, 0.146)
Y (0.000, 0.000, 0.500)
Y (0.000, 0.000, 0.000)
Tb (0.515, 0.971, 0.750)
Tb (0.485, 0.029, 0.250)

=====

Below is crystalline Pm5Te2Ir at its relaxed geometry, with properties calculated at the PBE-GGA level.

## Properties
For the final energy, the calculation gives -92.6 eV/cell. The value obtained for the formation energy from raw total energies is -927 meV/atom. The volume is 29.876 Å³ per atom.

abc: 4.242 8.444 13.344
angles: 90.00 90.00 90.00
Element x y z (fractional)
Te (0.500, 0.954, 0.678)
Te (0.500, 0.546, 0.178)
Te (0.500, 0.454, 0.822)
Te (0.500, 0.046, 0.322)
Pm (0.500, 0.826, 0.918)
Pm (0.000, 0.500, 0.000)
Pm (0.000, 0.340, 0.312)
Pm (0.000, 0.840, 0.188)
Pm (0.500, 0.674, 0.418)
Pm (0.000, 0.000, 0.500)
Pm (0.000, 0.660, 0.688)
Pm (0.500, 0.326, 0.582)
Pm (0.000, 0.160, 0.812)
Pm (0.500, 0.174, 0.082)
Ir (0.000, 0.000, 0.000)
Ir (0.000, 0.500, 0.500)

=====

Below is crystalline BaCdSe2N at its relaxed geometry, with properties calculated at the PBE-GGA level.

## Properties
For the final energy, the calculation gives -18.6 eV/cell. The value obtained for the formation energy from raw total energies is -93 meV/atom. The volume is 26.568 Å³ per atom.

abc: 5.473 5.473 4.434
angles: 90.00 90.00 90.00
Site moments in Bohr magnetons follow the coordinates.
Element x y z (fractional)
N (0.000, 0.000, 0.500)  1.19
Cd (0.000, 0.000, 0.000)  0.02
Se (0.000, 0.500, 0.000)  0.15
Se (0.500, 0.000, 0.000)  0.15
Ba (0.500, 0.500, 0.500)  0.00

=====

Below is crystalline PdI2N2 at its relaxed geometry, with properties calculated at the PBE-GGA level.

## Properties
For the final energy, the calculation gives -25.1 eV/cell. The value obtained for the formation energy from raw total energies is -38 meV/atom. The volume is 33.340 Å³ per atom.

abc: 4.114 4.115 11.400
angles: 86.26 90.00 119.99
Site moments in Bohr magnetons follow the coordinates.
Element x y z (fractional)
I (0.650, 0.300, 0.137)  0.29
I (0.350, 0.700, 0.863)  0.29
Pd (0.000, 0.000, 0.000)  0.77
N (0.948, 0.895, 0.466)  0.00
N (0.052, 0.105, 0.534)  0.00